The following is a meta-GGA SCAN calculation of a PBEsol-optimized structure of Zn2SbPt, from Alexandria via LeMat-Bulk.

Summary:
E_form (uncorrected) = -0.028 eV/atom
Fermi-level density of states = 1.6 states/eV/f.u.
Total magnetization = 0.00 μB/cell

a b c (Å): 4.6989 4.6989 3.2421
angles (deg): 90.00 90.00 109.66
Last column: nearest neighbours and their distance in Å.
Fractional positions:
Zn 0.0000 0.5000 0.0000  2 Zn 2.71, 4 Pt 2.85, 4 Sb 2.85
Zn 0.5000 0.0000 0.0000  2 Zn 2.71, 4 Pt 2.85, 4 Sb 2.85
Sb 0.0000 0.0000 0.5000  2 Pt 2.71, 8 Zn 2.85
Pt 0.5000 0.5000 0.5000  2 Sb 2.71, 8 Zn 2.85

The following is a meta-GGA SCAN calculation of a PBEsol-optimized structure of Ca2NbNi2, from Alexandria via LeMat-Bulk.

Summary:
Formation energy from the elements = 0.73 eV per atom
Fermi-level density of states = 3.2 states/eV/f.u.
Total magnetization = 2.67 μB/cell

a b c (Å): 6.5979 6.5979 6.5979
angles (deg): 145.01 145.01 50.32
Last column: nearest neighbours and their distance in Å.
Fractional positions:
Ca 0.2500 0.7500 0.5000  4 Ni 2.76, 4 Ca 2.80
Ca 0.7500 0.2500 0.5000  4 Ni 2.76, 4 Ca 2.80
Nb 0.0000 0.0000 0.0000  8 Ni 3.00
Ni 0.4105 0.4105 0.0000  1 Ni 2.14
Ni 0.5895 0.5895 0.0000  1 Ni 2.14

The following is a meta-GGA SCAN calculation of a PBEsol-optimized structure of Zr2TaCl, from Alexandria via LeMat-Bulk.

Summary:
E_form (uncorrected) = 0.169 eV/atom
Fermi-level density of states = 3.8 states/eV/f.u.
Total magnetization = 0.00 μB/cell

a b c (Å): 5.4347 5.4347 5.4833
angles (deg): 118.34 118.34 33.70
Last column: nearest neighbours and their distance in Å.
Fractional positions:
Zr 0.2219 0.2219 0.2242  2 Cl 2.55
Zr 0.7781 0.7781 0.7758  2 Cl 2.55
Ta 0.0000 0.0000 0.5000  4 Zr 2.97, 2 Ta 3.15, 4 Cl 3.16
Cl 0.5000 0.5000 0.0000  4 Zr 2.55

The following is a meta-GGA SCAN calculation of a PBEsol-optimized structure of Li2SbW, from Alexandria via LeMat-Bulk.

Summary:
E_form (uncorrected) = 0.376 eV/atom
Fermi-level density of states = 2.3 states/eV/f.u.
Total magnetization = 0.02 μB/cell

a b c (Å): 3.9184 3.9184 4.1052
angles (deg): 90.00 90.00 90.00
Last column: nearest neighbours and their distance in Å.
Fractional positions:
Li 0.0000 0.5000 0.0000  4 Li 2.77, 4 W 2.84, 4 Sb 2.84
Li 0.5000 0.0000 0.0000  4 Li 2.77, 4 W 2.84, 4 Sb 2.84
Sb 0.0000 0.0000 0.5000  4 W 2.77, 8 Li 2.84
W 0.5000 0.5000 0.5000  4 Sb 2.77, 8 Li 2.84

Calculated values (Ry per atom) of raw total energy for the records, taken in order: -2.4732 -1.1929 -2.4858 -2.0254.